Record 1
Computed, not measured: YPtCl3 after structural relaxation at the PBE level of DFT.

**E**: -4.341 eV/atom
**Distance to the lowest polymorph of the same formula**: 0.0 meV per atom

Structure (CIF):
```
data_YPtCl3
_symmetry_space_group_name_H-M 'P m -3 m'
_symmetry_Int_Tables_number 221
_symmetry_space_group_name_Hall '-P 4 2 3'
_cell_length_a 5.245
_cell_length_b 5.245
_cell_length_c 5.245
_cell_angle_alpha 90.00
_cell_angle_beta 90.00
_cell_angle_gamma 90.00
loop_
_atom_site_label
_atom_site_type_symbol
_atom_site_fract_x
_atom_site_fract_y
_atom_site_fract_z
Y1 Y 0.000 0.000 0.000
Pt1 Pt 0.500 0.500 0.500
Cl1 Cl 0.000 0.000 0.500
```

Record 2
Computed, not measured: PmZn2Cu8 after structural relaxation at the PBE level of DFT.

**E**: -3.374 eV/atom
**E_form**: 268 meV/atom

Structure (CIF):
```
data_PmZn2Cu8
_symmetry_space_group_name_H-M 'P 4/m m m'
_symmetry_Int_Tables_number 123
_symmetry_space_group_name_Hall '-P 4 2'
_cell_length_a 4.803
_cell_length_b 4.803
_cell_length_c 8.637
_cell_angle_alpha 90.00
_cell_angle_beta 90.00
_cell_angle_gamma 90.00
loop_
_atom_site_label
_atom_site_type_symbol
_atom_site_fract_x
_atom_site_fract_y
_atom_site_fract_z
Pm1 Pm 0.000 0.000 0.000
Zn1 Zn 0.000 0.500 0.500
Cu1 Cu 0.252 0.252 0.278
```

Record 3
Computed, not measured: BaCd4Si2 after structural relaxation at the PBE level of DFT.

**E**: -2.494 eV/atom

Structure (CIF):
```
data_BaCd4Si2
_symmetry_space_group_name_H-M 'C m m m'
_symmetry_Int_Tables_number 65
_symmetry_space_group_name_Hall '-C 2 2'
_cell_length_a 4.544
_cell_length_b 15.964
_cell_length_c 4.557
_cell_angle_alpha 90.00
_cell_angle_beta 90.00
_cell_angle_gamma 90.00
loop_
_atom_site_label
_atom_site_type_symbol
_atom_site_fract_x
_atom_site_fract_y
_atom_site_fract_z
Ba1 Ba 0.000 0.000 0.000
Cd1 Cd 0.000 0.178 0.500
Cd2 Cd 0.000 0.315 0.000
Si1 Si 0.000 0.423 0.500
```

Record 4
Computed, not measured: La2TbNd4Th after structural relaxation at the PBE level of DFT.

**E**: -5.083 eV/atom
**E_form**: 39 meV/atom

Structure (CIF):
```
data_La2TbNd4Th
_symmetry_space_group_name_H-M 'P 4/m m m'
_symmetry_Int_Tables_number 123
_symmetry_space_group_name_Hall '-P 4 2'
_cell_length_a 5.190
_cell_length_b 5.190
_cell_length_c 10.361
_cell_angle_alpha 90.00
_cell_angle_beta 90.00
_cell_angle_gamma 90.00
loop_
_atom_site_label
_atom_site_type_symbol
_atom_site_fract_x
_atom_site_fract_y
_atom_site_fract_z
La1 La 0.000 0.000 0.000
La2 La 0.500 0.500 0.500
Tb1 Tb 0.000 0.000 0.500
Nd1 Nd 0.000 0.500 0.245
Th1 Th 0.500 0.500 0.000
```

Record 5
Computed, not measured: TbPm5Nd2Ho after structural relaxation at the PBE level of DFT.

**E**: -4.448 eV/atom
**E_form**: 274 meV/atom

Structure (CIF):
```
data_TbPm5Nd2Ho
_symmetry_space_group_name_H-M 'I 4/m c m'
_symmetry_Int_Tables_number 140
_symmetry_space_group_name_Hall '-I 4 2c'
_cell_length_a 8.684
_cell_length_b 8.684
_cell_length_c 16.376
_cell_angle_alpha 90.00
_cell_angle_beta 90.00
_cell_angle_gamma 90.00
loop_
_atom_site_label
_atom_site_type_symbol
_atom_site_fract_x
_atom_site_fract_y
_atom_site_fract_z
Tb1 Tb 0.000 0.000 0.250
Pm1 Pm 0.000 0.000 0.000
Pm2 Pm 0.214 0.286 0.142
Nd1 Nd 0.120 0.380 0.500
Ho1 Ho 0.000 0.500 0.250
```

Record 6
Computed, not measured: Pr8CuSb2 after structural relaxation at the PBE level of DFT.

**E**: -4.989 eV/atom

Structure (CIF):
```
data_Pr8CuSb2
_symmetry_space_group_name_H-M 'C 1 2/m 1'
_symmetry_Int_Tables_number 12
_cell_length_a 19.416
_cell_length_b 4.848
_cell_length_c 7.580
_cell_angle_alpha 90.00
_cell_angle_beta 99.06
_cell_angle_gamma 90.00
loop_
_symmetry_equiv_pos_as_xyz
'x,y,z'
'-x,-y,-z'
'-x,y,-z'
'x,-y,z'
'x+1/2,y+1/2,z'
'-x+1/2,-y+1/2,-z'
'-x+1/2,y+1/2,-z'
'x+1/2,-y+1/2,z'
loop_
_atom_site_label
_atom_site_type_symbol
_atom_site_fract_x
_atom_site_fract_y
_atom_site_fract_z
Pr1 Pr 0.008 0.000 0.281
Pr2 Pr 0.094 0.500 0.005
Pr3 Pr 0.155 0.500 0.527
Pr4 Pr 0.215 0.000 0.847
Cu1 Cu 0.000 0.500 0.500
Sb1 Sb 0.181 0.000 0.265
```

Record 7
Computed, not measured: LaNpN3 after structural relaxation at the PBE level of DFT.

**E**: -9.833 eV/atom

Structure (CIF):
```
data_LaNpN3
_symmetry_space_group_name_H-M 'C 1 2/m 1'
_symmetry_Int_Tables_number 12
_cell_length_a 10.272
_cell_length_b 5.921
_cell_length_c 6.014
_cell_angle_alpha 90.00
_cell_angle_beta 124.86
_cell_angle_gamma 90.00
loop_
_symmetry_equiv_pos_as_xyz
'x,y,z'
'-x,-y,-z'
'-x,y,-z'
'x,-y,z'
'x+1/2,y+1/2,z'
'-x+1/2,-y+1/2,-z'
'-x+1/2,y+1/2,-z'
'x+1/2,-y+1/2,z'
loop_
_atom_site_label
_atom_site_type_symbol
_atom_site_fract_x
_atom_site_fract_y
_atom_site_fract_z
La1 La 0.248 0.000 0.236
Np1 Np 0.000 0.000 0.500
Np2 Np 0.000 0.500 0.000
N1 N 0.054 0.255 0.811
N2 N 0.237 0.000 0.642
```

Record 8
Computed, not measured: La6Bi3Sb2I after structural relaxation at the PBE level of DFT.

**E**: -5.407 eV/atom

Structure (CIF):
```
data_La6Bi3Sb2I
_symmetry_space_group_name_H-M 'C 1 2/m 1'
_symmetry_Int_Tables_number 12
_cell_length_a 20.321
_cell_length_b 4.672
_cell_length_c 9.322
_cell_angle_alpha 90.00
_cell_angle_beta 103.06
_cell_angle_gamma 90.00
loop_
_symmetry_equiv_pos_as_xyz
'x,y,z'
'-x,-y,-z'
'-x,y,-z'
'x,-y,z'
'x+1/2,y+1/2,z'
'-x+1/2,-y+1/2,-z'
'-x+1/2,y+1/2,-z'
'x+1/2,-y+1/2,z'
loop_
_atom_site_label
_atom_site_type_symbol
_atom_site_fract_x
_atom_site_fract_y
_atom_site_fract_z
La1 La 0.003 0.000 0.263
La2 La 0.169 0.500 0.580
La3 La 0.172 0.500 0.091
Bi1 Bi 0.000 0.500 0.500
Bi2 Bi 0.163 0.000 0.834
Sb1 Sb 0.166 0.000 0.331
I1 I 0.000 0.500 0.000
```

Record 9
Computed, not measured: BaPdPbAu after structural relaxation at the PBE level of DFT.

**E**: -3.855 eV/atom
**Distance to the lowest polymorph of the same formula**: 140.6 meV per atom
**E_form**: -330 meV/atom

Structure (CIF):
```
data_BaPdPbAu
_symmetry_space_group_name_H-M 'F -4 3 m'
_symmetry_Int_Tables_number 216
_symmetry_space_group_name_Hall 'F -4 2 3'
_cell_length_a 7.537
_cell_length_b 7.537
_cell_length_c 7.537
_cell_angle_alpha 90.00
_cell_angle_beta 90.00
_cell_angle_gamma 90.00
loop_
_atom_site_label
_atom_site_type_symbol
_atom_site_fract_x
_atom_site_fract_y
_atom_site_fract_z
Ba1 Ba 0.000 0.000 0.000
Pd1 Pd 0.250 0.250 0.250
Pb1 Pb 0.000 0.000 0.500
Au1 Au 0.250 0.250 0.750
```

Record 10
Computed, not measured: GaPb2I after structural relaxation at the PBE level of DFT.

**E**: -2.849 eV/atom
**Distance to the lowest polymorph of the same formula**: 167.1 meV per atom

Structure (CIF):
```
data_GaPb2I
_symmetry_space_group_name_H-M 'F m -3 m'
_symmetry_Int_Tables_number 225
_symmetry_space_group_name_Hall '-F 4 2 3'
_cell_length_a 7.873
_cell_length_b 7.873
_cell_length_c 7.873
_cell_angle_alpha 90.00
_cell_angle_beta 90.00
_cell_angle_gamma 90.00
loop_
_atom_site_label
_atom_site_type_symbol
_atom_site_fract_x
_atom_site_fract_y
_atom_site_fract_z
Ga1 Ga 0.000 0.000 0.000
Pb1 Pb 0.250 0.250 0.250
I1 I 0.000 0.000 0.500
```

Record 11
Computed, not measured: LaHg2As after structural relaxation at the PBE level of DFT.

**E**: -2.557 eV/atom
**E_form**: -12 meV/atom

Structure (CIF):
```
data_LaHg2As
_symmetry_space_group_name_H-M 'R -3 m'
_symmetry_Int_Tables_number 166
_symmetry_space_group_name_Hall '-R 3 2"'
_cell_length_a 3.4899
_cell_length_b 3.4899
_cell_length_c 29.9852
_cell_angle_alpha 90.00
_cell_angle_beta 90.00
_cell_angle_gamma 120.00
loop_
_atom_site_label
_atom_site_type_symbol
_atom_site_fract_x
_atom_site_fract_y
_atom_site_fract_z
La1 La 0.0000 0.0000 0.0000
Hg1 Hg 0.0000 0.0000 0.2440
As1 As 0.0000 0.0000 0.5000
```

Record 12
Computed, not measured: KBi7O12 after structural relaxation at the PBE level of DFT.

**E**: -5.478 eV/atom

Structure (CIF):
```
data_KBi7O12
_symmetry_space_group_name_H-M 'I m -3'
_symmetry_Int_Tables_number 204
_symmetry_space_group_name_Hall '-I 2 2 3'
_cell_length_a 8.740
_cell_length_b 8.740
_cell_length_c 8.740
_cell_angle_alpha 90.00
_cell_angle_beta 90.00
_cell_angle_gamma 90.00
loop_
_atom_site_label
_atom_site_type_symbol
_atom_site_fract_x
_atom_site_fract_y
_atom_site_fract_z
K1 K 0.000 0.000 0.000
Bi1 Bi 0.000 0.000 0.500
Bi2 Bi 0.250 0.250 0.250
O1 O 0.000 0.312 0.193
```

Record 13
Computed, not measured: CaAc4Ga5 after structural relaxation at the PBE level of DFT.

**E**: -3.787 eV/atom
**E_form**: -430 meV/atom

Structure (CIF):
```
data_CaAc4Ga5
_symmetry_space_group_name_H-M 'P 4/m m m'
_symmetry_Int_Tables_number 123
_symmetry_space_group_name_Hall '-P 4 2'
_cell_length_a 3.873
_cell_length_b 3.873
_cell_length_c 19.506
_cell_angle_alpha 90.00
_cell_angle_beta 90.00
_cell_angle_gamma 90.00
loop_
_atom_site_label
_atom_site_type_symbol
_atom_site_fract_x
_atom_site_fract_y
_atom_site_fract_z
Ca1 Ca 0.000 0.000 0.000
Ac1 Ac 0.000 0.000 0.192
Ac2 Ac 0.000 0.000 0.398
Ga1 Ga 0.500 0.500 0.087
Ga2 Ga 0.500 0.500 0.296
Ga3 Ga 0.500 0.500 0.500
```

Record 14
Computed, not measured: LaCeO4 after structural relaxation at the PBE level of DFT.

**E**: -8.178 eV/atom

Structure (CIF):
```
data_LaCeO4
_symmetry_space_group_name_H-M 'P 4/m m m'
_symmetry_Int_Tables_number 123
_symmetry_space_group_name_Hall '-P 4 2'
_cell_length_a 3.940
_cell_length_b 3.940
_cell_length_c 5.672
_cell_angle_alpha 90.00
_cell_angle_beta 90.00
_cell_angle_gamma 90.00
loop_
_atom_site_label
_atom_site_type_symbol
_atom_site_fract_x
_atom_site_fract_y
_atom_site_fract_z
La1 La 0.000 0.000 0.000
Ce1 Ce 0.500 0.500 0.500
O1 O 0.000 0.500 0.264
```

Record 15
Computed, not measured: InGeIN2 after structural relaxation at the PBE level of DFT.

**E**: -3.856 eV/atom
**Distance to the lowest polymorph of the same formula**: 0.0 meV per atom

Structure (CIF):
```
data_InGeIN2
_symmetry_space_group_name_H-M 'P 4/m m m'
_symmetry_Int_Tables_number 123
_symmetry_space_group_name_Hall '-P 4 2'
_cell_length_a 4.057
_cell_length_b 4.057
_cell_length_c 6.295
_cell_angle_alpha 90.00
_cell_angle_beta 90.00
_cell_angle_gamma 90.00
loop_
_atom_site_label
_atom_site_type_symbol
_atom_site_fract_x
_atom_site_fract_y
_atom_site_fract_z
In1 In 0.000 0.000 0.000
Ge1 Ge 0.500 0.500 0.500
I1 I 0.500 0.500 0.000
N1 N 0.000 0.500 0.500
```

Record 16
Computed, not measured: ZnIn2RhPb after structural relaxation at the PBE level of DFT.

**E**: -3.554 eV/atom
**E_form**: 8 meV/atom

Structure (CIF):
```
data_ZnIn2RhPb
_symmetry_space_group_name_H-M 'P 4/m m m'
_symmetry_Int_Tables_number 123
_symmetry_space_group_name_Hall '-P 4 2'
_cell_length_a 5.131
_cell_length_b 5.131
_cell_length_c 4.887
_cell_angle_alpha 90.00
_cell_angle_beta 90.00
_cell_angle_gamma 90.00
loop_
_atom_site_label
_atom_site_type_symbol
_atom_site_fract_x
_atom_site_fract_y
_atom_site_fract_z
Zn1 Zn 0.000 0.000 0.000
In1 In 0.000 0.500 0.500
Rh1 Rh 0.000 0.000 0.500
Pb1 Pb 0.500 0.500 0.000
```

Record 17
Computed, not measured: AgMoRu2 after structural relaxation at the PBE level of DFT.

**E**: -7.677 eV/atom
**Distance to the lowest polymorph of the same formula**: 182.2 meV per atom
**E_form**: 382 meV/atom

Structure (CIF):
```
data_AgMoRu2
_symmetry_space_group_name_H-M 'C 1 m 1'
_symmetry_Int_Tables_number 8
_cell_length_a 9.363
_cell_length_b 2.767
_cell_length_c 4.794
_cell_angle_alpha 90.00
_cell_angle_beta 100.33
_cell_angle_gamma 90.00
loop_
_symmetry_equiv_pos_as_xyz
'x,y,z'
'x,-y,z'
'x+1/2,y+1/2,z'
'x+1/2,-y+1/2,z'
loop_
_atom_site_label
_atom_site_type_symbol
_atom_site_fract_x
_atom_site_fract_y
_atom_site_fract_z
Ag1 Ag 0.000 0.000 0.000
Mo1 Mo 0.240 0.000 0.725
Ru1 Ru 0.259 0.500 0.263
Ru2 Ru 0.489 0.000 0.495
```

Record 18
Computed, not measured: Ta2FeRh after structural relaxation at the PBE level of DFT.

**E**: -9.863 eV/atom
**E_form**: 16 meV/atom

Structure (CIF):
```
data_Ta2FeRh
_symmetry_space_group_name_H-M 'R -3 m'
_symmetry_Int_Tables_number 166
_symmetry_space_group_name_Hall '-R 3 2"'
_cell_length_a 2.9352
_cell_length_b 2.9352
_cell_length_c 25.3032
_cell_angle_alpha 90.00
_cell_angle_beta 90.00
_cell_angle_gamma 120.00
loop_
_atom_site_label
_atom_site_type_symbol
_atom_site_fract_x
_atom_site_fract_y
_atom_site_fract_z
Ta1 Ta 0.0000 0.0000 0.2462
Fe1 Fe 0.0000 0.0000 0.5000
Rh1 Rh 0.0000 0.0000 0.0000
```

Record 19
Computed, not measured: Pm6Sn12Au after structural relaxation at the PBE level of DFT.

**E**: -4.686 eV/atom
**E_form**: -485 meV/atom

Structure (CIF):
```
data_Pm6Sn12Au
_symmetry_space_group_name_H-M 'R -3'
_symmetry_Int_Tables_number 148
_symmetry_space_group_name_Hall '-R 3'
_cell_length_a 13.0743
_cell_length_b 13.0743
_cell_length_c 10.8943
_cell_angle_alpha 90.00
_cell_angle_beta 90.00
_cell_angle_gamma 120.00
loop_
_atom_site_label
_atom_site_type_symbol
_atom_site_fract_x
_atom_site_fract_y
_atom_site_fract_z
Pm1 Pm 0.0512 0.2054 0.2564
Sn1 Sn 0.0538 0.2443 0.5670
Sn2 Sn 0.0680 0.2293 0.9333
Au1 Au 0.0000 0.0000 0.5000
```

Record 20
Computed, not measured: NbSiSb2 after structural relaxation at the PBE level of DFT.

**E**: -5.363 eV/atom

Structure (CIF):
```
data_NbSiSb2
_symmetry_space_group_name_H-M 'I -4 2 d'
_symmetry_Int_Tables_number 122
_symmetry_space_group_name_Hall 'I -4 2bw'
_cell_length_a 6.390
_cell_length_b 6.390
_cell_length_c 11.963
_cell_angle_alpha 90.00
_cell_angle_beta 90.00
_cell_angle_gamma 90.00
loop_
_atom_site_label
_atom_site_type_symbol
_atom_site_fract_x
_atom_site_fract_y
_atom_site_fract_z
Nb1 Nb 0.000 0.000 0.000
Si1 Si 0.000 0.000 0.500
Sb1 Sb 0.235 0.250 0.625
```

Record 21
Computed, not measured: CaBiAs2 after structural relaxation at the PBE level of DFT.

**E**: -4.047 eV/atom
**E_form**: -252 meV/atom

Structure (CIF):
```
data_CaBiAs2
_symmetry_space_group_name_H-M 'I -4 2 d'
_symmetry_Int_Tables_number 122
_symmetry_space_group_name_Hall 'I -4 2bw'
_cell_length_a 6.696
_cell_length_b 6.696
_cell_length_c 12.950
_cell_angle_alpha 90.00
_cell_angle_beta 90.00
_cell_angle_gamma 90.00
loop_
_atom_site_label
_atom_site_type_symbol
_atom_site_fract_x
_atom_site_fract_y
_atom_site_fract_z
Ca1 Ca 0.000 0.000 0.000
Bi1 Bi 0.000 0.000 0.500
As1 As 0.235 0.250 0.625
```

Record 22
Computed, not measured: Ce2AgAu3 after structural relaxation at the PBE level of DFT.

**E**: -4.654 eV/atom
**E_form**: -562 meV/atom

Structure (CIF):
```
data_Ce2AgAu3
_symmetry_space_group_name_H-M 'P m m 2'
_symmetry_Int_Tables_number 25
_cell_length_a 3.324
_cell_length_b 4.839
_cell_length_c 8.411
_cell_angle_alpha 90.00
_cell_angle_beta 90.00
_cell_angle_gamma 90.00
loop_
_symmetry_equiv_pos_as_xyz
'x,y,z'
'-x,-y,z'
'-x,y,z'
'x,-y,z'
loop_
_atom_site_label
_atom_site_type_symbol
_atom_site_fract_x
_atom_site_fract_y
_atom_site_fract_z
Ce1 Ce 0.000 0.000 0.000
Ce2 Ce 0.000 0.500 0.485
Ag1 Ag 0.500 0.500 0.824
Au1 Au 0.500 0.000 0.328
Au2 Au 0.500 0.000 0.663
Au3 Au 0.500 0.500 0.154
```

Record 23
Computed, not measured: BeHgPt3 after structural relaxation at the PBE level of DFT.

**E**: -4.618 eV/atom
**Distance to the lowest polymorph of the same formula**: 115.5 meV per atom
**E_form**: -188 meV/atom

Structure (CIF):
```
data_BeHgPt3
_symmetry_space_group_name_H-M 'C 1 2/m 1'
_symmetry_Int_Tables_number 12
_cell_length_a 15.570
_cell_length_b 4.510
_cell_length_c 4.718
_cell_angle_alpha 90.00
_cell_angle_beta 98.28
_cell_angle_gamma 90.00
loop_
_symmetry_equiv_pos_as_xyz
'x,y,z'
'-x,-y,-z'
'-x,y,-z'
'x,-y,z'
'x+1/2,y+1/2,z'
'-x+1/2,-y+1/2,-z'
'-x+1/2,y+1/2,-z'
'x+1/2,-y+1/2,z'
loop_
_atom_site_label
_atom_site_type_symbol
_atom_site_fract_x
_atom_site_fract_y
_atom_site_fract_z
Be1 Be 0.196 0.000 0.129
Hg1 Hg 0.062 0.500 0.283
Pt1 Pt 0.065 0.000 0.853
Pt2 Pt 0.157 0.500 0.817
Pt3 Pt 0.231 0.000 0.636
```